[1]
A plane-wave DFT calculation with GGA-PBE was carried out for RbUFeSe4 after structural relaxation.

abc: 6.6179 6.4688 9.6620
angles: 90.00 109.03 90.00
Last column: nearest neighbours and their distance in Å.
Fractional coordinates of all 14 atoms:
Se1 0.9763 0.0129 0.3000  1 Fe 2.35
Se2 0.0237 0.5129 0.7000  1 Fe 2.35
Se3 0.5593 0.2500 0.4126  1 Fe 2.34
Se4 0.4296 0.7500 0.1755  1 Fe 2.35
Se5 0.4407 0.7500 0.5874  1 Fe 2.34
Se6 0.9763 0.4871 0.3000  1 Fe 2.35
Se7 0.0237 0.9871 0.7000  1 Fe 2.35
Se8 0.5704 0.2500 0.8245  1 Fe 2.35
U1 0.2450 0.2500 0.5522  6 Se 2.80-2.94
U2 0.7550 0.7500 0.4478  6 Se 2.80-2.94
Rb1 0.7526 0.7500 0.9481  8 Se 3.42-3.76
Rb2 0.2474 0.2500 0.0519  8 Se 3.42-3.76
Fe1 0.7655 0.2500 0.6607  4 Se 2.34-2.35
Fe2 0.2345 0.7500 0.3393  4 Se 2.34-2.35

Results
- uncorrected energy (eV per atom) = -5.8109
- SG = P2_1/m, No. 11
- density of states at the Fermi level (states/eV/cell) = 18.4
- density (g cm⁻³) = 5.904
- ΔE_f (raw) (meV per atom) = -860
- spin magnetization (μB/cell) = 10.35

***

[2]
A plane-wave DFT calculation with GGA-PBE was carried out for Rb3U3FeSe8 after structural relaxation.

abc: 8.2288 8.2295 9.4754
angles: 115.73 90.00 120.00
Last column: nearest neighbours and their distance in Å.
Fractional coordinates of all 15 atoms:
Fe1 0.0000 0.0000 0.5000  6 Se 2.75-2.76
Se1 0.2232 0.9619 0.6851  1 Fe 2.76, 2 U 2.85
Se2 0.7772 0.5543 0.3152  1 Fe 2.75, 2 U 2.85
Se3 0.7387 0.9619 0.6851  1 Fe 2.76, 2 U 2.85
Se4 0.2613 0.0381 0.3149  1 Fe 2.76, 2 U 2.85
Se5 0.2228 0.4457 0.6848  1 Fe 2.75, 2 U 2.85
Se6 0.7332 0.4664 0.6994  3 U 2.88
Se7 0.2668 0.5336 0.3006  3 U 2.88
Se8 0.7768 0.0381 0.3149  1 Fe 2.76, 2 U 2.85
U1 0.5000 0.0000 0.5000  6 Se 2.85-2.88
U2 0.0000 0.5000 0.5000  6 Se 2.85-2.88
U3 0.5000 0.5000 0.5000  6 Se 2.85-2.88
Rb1 0.0000 0.5000 0.0000  6 Se 3.42-3.49
Rb2 0.0000 0.0000 0.0000  6 Se 3.42-3.48
Rb3 0.5000 0.5000 0.0000  6 Se 3.42-3.49

Results
- uncorrected energy (eV per atom) = -5.9164
- SG = R-3m, No. 166
- density of states at the Fermi level (states/eV/cell) = 18.8
- density (g cm⁻³) = 5.726
- ΔE_f (raw) (meV per atom) = -1043
- spin magnetization (μB/cell) = 10.43

***

[3]
A plane-wave DFT calculation with GGA-PBE was carried out for RbFe3Si after structural relaxation.

abc: 4.6385 4.6385 4.6385
angles: 90.00 90.00 90.00
Last column: nearest neighbours and their distance in Å.
Fractional coordinates of all 5 atoms:
Fe1 0.0000 0.0000 0.5000  2 Rb 2.32
Fe2 0.5000 0.0000 0.0000  2 Rb 2.32
Fe3 0.0000 0.5000 0.0000  2 Rb 2.32
Rb1 0.0000 0.0000 0.0000  6 Fe 2.32
Si1 0.5000 0.5000 0.5000  12 Fe 3.28

Results
- relative energy among the computed polymorphs (meV per atom) = 1737
- uncorrected energy (eV per atom) = -3.6677
- SG = Pm-3m, No. 221
- density of states at the Fermi level (states/eV/cell) = 6.0
- density (g cm⁻³) = 4.677
- ΔE_f (raw) (meV per atom) = 2688
- spin magnetization (μB/cell) = 7.96

***

[4]
A plane-wave DFT calculation with GGA-PBE was carried out for RbFeSi3 after structural relaxation.

abc: 5.2714 5.2714 5.2714
angles: 90.00 90.00 90.00
Last column: nearest neighbours and their distance in Å.
Fractional coordinates of all 5 atoms:
Si1 0.0000 0.0000 0.5000  2 Rb 2.64
Si2 0.0000 0.5000 0.0000  2 Rb 2.64
Si3 0.5000 0.0000 0.0000  2 Rb 2.64
Rb1 0.0000 0.0000 0.0000  6 Si 2.64
Fe1 0.5000 0.5000 0.5000  12 Si 3.73

Results
- relative energy among the computed polymorphs (meV per atom) = 2624
- uncorrected energy (eV per atom) = -2.1308
- SG = Pm-3m, No. 221
- density of states at the Fermi level (states/eV/cell) = 17.1
- density (g cm⁻³) = 2.557
- ΔE_f (raw) (meV per atom) = 3009
- spin magnetization (μB/cell) = 0.09

***

[5]
A plane-wave DFT calculation with GGA-PBE was carried out for RbFeSi2 after structural relaxation.

abc: 4.6750 4.6750 4.6750
angles: 60.00 60.00 60.00
Last column: nearest neighbours and their distance in Å.
Fractional coordinates of all 4 atoms:
Fe1 0.0000 0.0000 0.0000  8 Si 2.86
Rb1 0.5000 0.5000 0.5000  8 Si 2.86
Si1 0.2500 0.2500 0.2500  4 Rb 2.86, 4 Fe 2.86
Si2 0.7500 0.7500 0.7500  4 Rb 2.86, 4 Fe 2.86

Results
- relative energy among the computed polymorphs (meV per atom) = 1142
- uncorrected energy (eV per atom) = -3.8344
- SG = Fm-3m, No. 225
- density of states at the Fermi level (states/eV/cell) = 6.3
- density (g cm⁻³) = 4.539
- ΔE_f (raw) (meV per atom) = 1235
- spin magnetization (μB/cell) = 0.00

***

[6]
A plane-wave DFT calculation with GGA-PBE was carried out for RbFe3Si after structural relaxation.

abc: 4.6654 4.6654 4.6654
angles: 90.00 90.00 90.00
Last column: nearest neighbours and their distance in Å.
Fractional coordinates of all 5 atoms:
Rb1 0.5000 0.5000 0.5000  12 Fe 3.30
Si1 0.0000 0.0000 0.0000  6 Fe 2.33
Fe1 0.0000 0.5000 0.0000  2 Si 2.33
Fe2 0.5000 0.0000 0.0000  2 Si 2.33
Fe3 0.0000 0.0000 0.5000  2 Si 2.33

Results
- relative energy among the computed polymorphs (meV per atom) = 0
- uncorrected energy (eV per atom) = -5.4051
- SG = Pm-3m, No. 221
- density of states at the Fermi level (states/eV/cell) = 6.7
- density (g cm⁻³) = 4.596
- ΔE_f (raw) (meV per atom) = 951
- spin magnetization (μB/cell) = 8.60

***

[7]
A plane-wave DFT calculation with GGA-PBE was carried out for RbFeSi3 after structural relaxation.

abc: 4.6068 4.6068 4.6068
angles: 90.00 90.00 90.00
Last column: nearest neighbours and their distance in Å.
Fractional coordinates of all 5 atoms:
Si1 0.5000 0.0000 0.0000  2 Fe 2.30
Si2 0.0000 0.0000 0.5000  2 Fe 2.30
Si3 0.0000 0.5000 0.0000  2 Fe 2.30
Fe1 0.0000 0.0000 0.0000  6 Si 2.30
Rb1 0.5000 0.5000 0.5000  12 Si 3.26

Results
- relative energy among the computed polymorphs (meV per atom) = 0
- uncorrected energy (eV per atom) = -4.7548
- SG = Pm-3m, No. 221
- density of states at the Fermi level (states/eV/cell) = 3.5
- density (g cm⁻³) = 3.831
- ΔE_f (raw) (meV per atom) = 385
- spin magnetization (μB/cell) = 2.13

***

[8]
A plane-wave DFT calculation with GGA-PBE was carried out for RbFeSi2 after structural relaxation.

abc: 6.2625 6.2625 7.2212
angles: 64.30 64.30 90.00
Last column: nearest neighbours and their distance in Å.
Fractional coordinates of all 8 atoms:
Si1 0.3750 0.1250 0.2500  2 Fe 2.12
Si2 0.3750 0.6250 0.7500  2 Fe 2.12
Si3 0.8750 0.6250 0.7500  2 Fe 2.12
Si4 0.3750 0.6250 0.2500  2 Fe 2.12
Rb1 0.7500 0.2500 0.5000  8 Si 3.78
Rb2 0.0000 0.0000 0.0000  8 Si 3.78
Fe1 0.2500 0.7500 0.5000  4 Si 2.12
Fe2 0.5000 0.5000 0.0000  4 Si 2.12

Results
- relative energy among the computed polymorphs (meV per atom) = 0
- uncorrected energy (eV per atom) = -4.9768
- SG = I4_1/amd, No. 141
- density of states at the Fermi level (states/eV/cell) = 3.1
- density (g cm⁻³) = 2.932
- ΔE_f (raw) (meV per atom) = 92
- spin magnetization (μB/cell) = 0.00

***

[9]
A plane-wave DFT calculation with GGA-PBE was carried out for RbFe2SiTc after structural relaxation.

abc: 4.4406 5.6815 4.4406
angles: 90.00 90.00 90.00
Last column: nearest neighbours and their distance in Å.
Fractional coordinates of all 5 atoms:
Rb1 0.0000 0.5000 0.0000  2 Si 2.84, 4 Tc 3.14
Fe1 0.5000 0.0000 0.0000  2 Si 2.22
Fe2 0.0000 0.0000 0.5000  2 Si 2.22
Si1 0.0000 0.0000 0.0000  4 Fe 2.22
Tc1 0.5000 0.5000 0.5000  4 Rb 3.14

Results
- uncorrected energy (eV per atom) = -5.0206
- SG = P4/mmm, No. 123
- density of states at the Fermi level (states/eV/cell) = 6.4
- density (g cm⁻³) = 4.791
- ΔE_f (raw) (meV per atom) = 1716
- spin magnetization (μB/cell) = 7.92

***

[10]
A plane-wave DFT calculation with GGA-PBE was carried out for RbYFe2Si after structural relaxation.

abc: 4.4168 5.3417 4.4168
angles: 90.00 90.00 90.00
Last column: nearest neighbours and their distance in Å.
Fractional coordinates of all 5 atoms:
Fe1 0.5000 0.0000 0.0000  2 Rb 2.21
Fe2 0.0000 0.0000 0.5000  2 Rb 2.21
Si1 0.5000 0.5000 0.5000  4 Y 3.12, 8 Fe 3.47
Y1 0.0000 0.5000 0.0000  2 Rb 2.67
Rb1 0.0000 0.0000 0.0000  4 Fe 2.21

Results
- uncorrected energy (eV per atom) = -3.6380
- SG = P4/mmm, No. 123
- density of states at the Fermi level (states/eV/cell) = 7.9
- density (g cm⁻³) = 5.006
- ΔE_f (raw) (meV per atom) = 2318
- spin magnetization (μB/cell) = 0.15

***

[11]
A plane-wave DFT calculation with GGA-PBE was carried out for RbFe3Sn after structural relaxation.

abc: 5.0732 5.0732 5.0732
angles: 90.00 90.00 90.00
Last column: nearest neighbours and their distance in Å.
Fractional coordinates of all 5 atoms:
Fe1 0.5000 0.0000 0.0000  2 Sn 2.54
Fe2 0.0000 0.5000 0.0000  2 Sn 2.54
Fe3 0.0000 0.0000 0.5000  2 Sn 2.54
Sn1 0.0000 0.0000 0.0000  6 Fe 2.54
Rb1 0.5000 0.5000 0.5000  12 Fe 3.59

Results
- uncorrected energy (eV per atom) = -4.8376
- SG = Pm-3m, No. 221
- density of states at the Fermi level (states/eV/cell) = 7.5
- density (g cm⁻³) = 4.727
- spin magnetization (μB/cell) = 8.92
- E_form (meV/atom) = 1234

***

[12]
A plane-wave DFT calculation with GGA-PBE was carried out for RbFeSn2 after structural relaxation.

abc: 5.3005 5.3005 5.3005
angles: 60.00 60.00 60.00
Last column: nearest neighbours and their distance in Å.
Fractional coordinates of all 4 atoms:
Fe1 0.0000 0.0000 0.0000  8 Sn 3.25
Sn1 0.7500 0.7500 0.7500  4 Rb 3.25, 4 Fe 3.25
Sn2 0.2500 0.2500 0.2500  4 Rb 3.25, 4 Fe 3.25
Rb1 0.5000 0.5000 0.5000  8 Sn 3.25

Results
- relative energy among the computed polymorphs (meV per atom) = 422
- uncorrected energy (eV per atom) = -3.7284
- SG = Fm-3m, No. 225
- density of states at the Fermi level (states/eV/cell) = 2.2
- density (g cm⁻³) = 5.972
- spin magnetization (μB/cell) = 2.99
- E_form (meV/atom) = 631

***

Question: Among the records above, which one has the highest uncorrected energy?
Answer: number 4

***

Question: What is the formula in the eighth record?
Answer: RbFeSi2

***

Question: What is the formula in the second record?
Answer: Rb3U3FeSe8